# 1
Here is CeDy3Y4S8 after structural relaxation from the Alexandria database. Energies are from GGA-PBE.

Output
The calculation puts the formation energy without anion corrections at -2003 meV/atom.

Cell lengths 7.8509, 7.8513, 7.8511 Å; angles 119.99, 120.00, 90.00 degrees
Fractional coordinates of all 16 atoms:
Ce  0.0000  0.5000  0.0000
Dy  0.5000  0.5000  0.0000
Dy  0.5000  0.5000  0.5000
Dy  0.0000  0.5000  0.5000
Y  0.5000  0.0000  0.0000
Y  0.5000  0.0000  0.5000
Y  0.0000  0.0000  0.0000
Y  0.0000  0.0000  0.5000
S  0.2526  0.7518  0.9992
S  0.2527  0.7518  0.5053
S  0.2504  0.2513  0.5008
S  0.7465  0.7518  0.9992
S  0.2535  0.2482  0.0008
S  0.7496  0.7487  0.4992
S  0.7473  0.2482  0.4947
S  0.7474  0.2482  0.0008

---

# 2
Here is BSbI2Br after structural relaxation from the Alexandria database. Energies are from GGA-PBE.

Output
The polymorph energy (0 for the lowest one) comes out at 0.0 meV per atom. The calculation puts the formation energy without anion corrections at 699 meV/atom.

Cell lengths 5.0390, 5.0390, 5.2261 Å; angles 90.00, 90.00, 90.00 degrees
Fractional coordinates of all 5 atoms:
I  0.0000  0.5000  0.0000
I  0.5000  0.0000  0.0000
Sb  0.0000  0.0000  0.5000
B  0.0000  0.0000  0.0000
Br  0.5000  0.5000  0.5000

---

# 3
Here is La2Zn2Pd after structural relaxation from the Alexandria database. Energies are from GGA-PBE.

Output
The polymorph energy (0 for the lowest one) comes out at 332.1 meV per atom. For the energy of formation, the calculation gives -4.33 kcal/mol of atoms.

Cell lengths 5.9683, 5.9683, 5.5828 Å; angles 57.69, 57.69, 90.00 degrees
Fractional coordinates of all 5 atoms:
Zn  0.3434  0.3434  0.3131
Zn  0.6566  0.6566  0.6869
Pd  0.0000  0.0000  0.0000
La  0.7500  0.2500  0.5000
La  0.2500  0.7500  0.5000

---

# 4
Here is CeTaSe after structural relaxation from the Alexandria database. Energies are from GGA-PBE.

Output
The calculation puts the formation energy without anion corrections at -416 meV/atom.

Cell lengths 3.4304, 3.4304, 13.0198 Å; angles 90.00, 90.00, 120.00 degrees
Fractional coordinates of all 6 atoms:
Se  0.6667  0.3333  0.3176
Se  0.6667  0.3333  0.5805
Ta  0.6667  0.3333  0.9491
Ta  0.3333  0.6667  0.4491
Ce  0.3333  0.6667  0.1337
Ce  0.3333  0.6667  0.7645

---

# 5
Here is CuRePb2 after structural relaxation from the Alexandria database. Energies are from GGA-PBE.

Output
The polymorph energy (0 for the lowest one) comes out at 565.8 meV per atom. For the energy of formation, the calculation gives 26.75 kcal/mol of atoms.

Cell lengths 4.9369, 4.9369, 4.9369 Å; angles 60.00, 60.00, 60.00 degrees
Fractional coordinates of all 4 atoms:
Cu  0.5000  0.5000  0.5000
Pb  0.0000  0.0000  0.0000
Pb  0.2500  0.2500  0.2500
Re  0.7500  0.7500  0.7500

---

# 6
Here is SnPd5Pt3 after structural relaxation from the Alexandria database. Energies are from GGA-PBE.

Output
For the energy of formation, the calculation gives 3.73 kcal/mol of atoms.

Cell lengths 5.5297, 5.5297, 10.9551 Å; angles 85.47, 85.47, 84.92 degrees
Fractional coordinates of all 18 atoms:
Sn  0.0521  0.0521  0.7353
Sn  0.9479  0.9479  0.2647
Pd  0.9713  0.4250  0.3267
Pd  0.3279  0.6721  0.0000
Pd  0.7106  0.7106  0.1283
Pd  0.4688  0.4688  0.2981
Pd  0.5312  0.5312  0.7019
Pd  0.2894  0.2894  0.8717
Pd  0.4250  0.9713  0.3267
Pd  0.6721  0.3279  0.0000
Pd  0.0287  0.5750  0.6733
Pd  0.5750  0.0287  0.6733
Pt  0.7477  0.7477  0.8677
Pt  0.6763  0.6763  0.4812
Pt  0.0000  0.0000  0.0000
Pt  0.0000  0.0000  0.5000
Pt  0.2523  0.2523  0.1323
Pt  0.3237  0.3237  0.5188